Computed, not measured: a relaxed Sm2CoPtO6 crystal at the PBE+U level of DFT.

POSCAR file:
```
Sm2CoPtO6
1.0
5.411 0.000 0.000
0.000 5.858 0.000
-5.399 0.000 7.765
Sm Co Pt O
4 2 2 12
direct
0.227 0.074 0.250
0.227 0.426 0.750
0.773 0.574 0.250
0.773 0.926 0.750
0.500 0.000 0.000
0.500 0.500 0.500
0.000 0.000 0.500
0.000 0.500 0.000
0.127 0.200 0.943
0.127 0.300 0.443
0.256 0.692 0.946
0.256 0.808 0.446
0.363 0.041 0.750
0.363 0.459 0.250
0.637 0.541 0.750
0.637 0.959 0.250
0.744 0.192 0.554
0.744 0.308 0.054
0.873 0.700 0.557
0.873 0.800 0.057
```

Values from the calculation:
Size of the total moment, μB per cell: 5.93
Final energy, eV for the cell shown: -143.412
Calculated volume, A^3/atom: 12.31
N(E_F), states/eV/atom: 0.0000